(1)
Entry from Alexandria: crystalline BaCo2Os2 at its relaxed geometry (GGA-PBE).

```
data_BaCo2Os2
_chemical_formula_sum 'Ba2 Co4 Os4'
_space_group_name_H-M_alt 'I 4/m m m'
_space_group_IT_number 139
_space_group_name_Hall '-I 4 2'
_cell_length_a 4.230
_cell_length_b 4.230
_cell_length_c 11.321
_cell_angle_alpha 90.00
_cell_angle_beta 90.00
_cell_angle_gamma 90.00
loop_
_atom_site_label
_atom_site_type_symbol
_atom_site_fract_x
_atom_site_fract_y
_atom_site_fract_z
Ba1 Ba 0.000 0.000 0.000
Co1 Co 0.000 0.000 0.345
Os1 Os 0.000 0.500 0.250
```

Values from the calculation:
ρ ... 10.42 g/cm3
Total magnetic moment ... 0.600 μB/atom
Fermi-level density of states ... 7.7 states/eV/cell


(2)
Entry from Alexandria: crystalline BaCo2Os2 at its relaxed geometry (GGA-PBE).

```
data_BaCo2Os2
_chemical_formula_sum 'Ba2 Co4 Os4'
_space_group_name_H-M_alt 'P 4/m b m'
_space_group_IT_number 127
_space_group_name_Hall '-P 4 2ab'
_cell_length_a 7.797
_cell_length_b 7.797
_cell_length_c 2.759
_cell_angle_alpha 90.00
_cell_angle_beta 90.00
_cell_angle_gamma 90.00
loop_
_atom_site_label
_atom_site_type_symbol
_atom_site_fract_x
_atom_site_fract_y
_atom_site_fract_z
Ba1 Ba 0.000 0.000 0.000
Co1 Co 0.163 0.337 0.000
Os1 Os 0.118 0.618 0.500
```

Values from the calculation:
ρ ... 12.58 g/cm3
Total magnetic moment ... 0.561 μB/atom
Fermi-level density of states ... 10.3 states/eV/cell


Decreasing stability: (1), (2)


(1)
Entry from Alexandria: crystalline BaCo3P at its relaxed geometry (GGA-PBE).

```
data_BaCo3P
_chemical_formula_sum 'Ba1 Co3 P1'
_space_group_name_H-M_alt 'P m -3 m'
_space_group_IT_number 221
_space_group_name_Hall '-P 4 2 3'
_cell_length_a 4.463
_cell_length_b 4.463
_cell_length_c 4.463
_cell_angle_alpha 90.00
_cell_angle_beta 90.00
_cell_angle_gamma 90.00
loop_
_atom_site_label
_atom_site_type_symbol
_atom_site_fract_x
_atom_site_fract_y
_atom_site_fract_z
Ba1 Ba 0.000 0.000 0.000
Co1 Co 0.000 0.500 0.500
P1 P 0.500 0.500 0.500
```

Values from the calculation:
ρ ... 6.44 g/cm3
Total magnetic moment ... 0.799 μB/atom
Fermi-level density of states ... 4.0 states/eV/cell


(2)
Entry from Alexandria: crystalline BaCo3P at its relaxed geometry (GGA-PBE).

```
data_BaCo3P
_chemical_formula_sum 'Ba1 Co3 P1'
_space_group_name_H-M_alt 'P m -3 m'
_space_group_IT_number 221
_space_group_name_Hall '-P 4 2 3'
_cell_length_a 4.833
_cell_length_b 4.833
_cell_length_c 4.833
_cell_angle_alpha 90.00
_cell_angle_beta 90.00
_cell_angle_gamma 90.00
loop_
_atom_site_label
_atom_site_type_symbol
_atom_site_fract_x
_atom_site_fract_y
_atom_site_fract_z
Ba1 Ba 0.000 0.000 0.000
Co1 Co 0.000 0.000 0.500
P1 P 0.500 0.500 0.500
```

Values from the calculation:
ρ ... 5.08 g/cm3
Total magnetic moment ... 0.826 μB/atom
Fermi-level density of states ... 5.2 states/eV/cell


Decreasing stability: (1), (2)


(1)
Entry from Alexandria: crystalline BaCoP2S at its relaxed geometry (GGA-PBE).

```
data_BaCoP2S
_chemical_formula_sum 'Ba1 Co1 P2 S1'
_space_group_name_H-M_alt 'P 4/m m m'
_space_group_IT_number 123
_space_group_name_Hall '-P 4 2'
_cell_length_a 4.396
_cell_length_b 4.396
_cell_length_c 5.398
_cell_angle_alpha 90.00
_cell_angle_beta 90.00
_cell_angle_gamma 90.00
loop_
_atom_site_label
_atom_site_type_symbol
_atom_site_fract_x
_atom_site_fract_y
_atom_site_fract_z
Ba1 Ba 0.000 0.000 0.000
Co1 Co 0.500 0.500 0.500
P1 P 0.000 0.500 0.500
S1 S 0.500 0.500 0.000
```

Values from the calculation:
ρ ... 4.62 g/cm3
Total magnetic moment ... 0.000 μB/atom
Fermi-level density of states ... 4.1 states/eV/cell


(2)
Entry from Alexandria: crystalline BaCoP2S at its relaxed geometry (GGA-PBE).

```
data_BaCoP2S
_chemical_formula_sum 'Ba1 Co1 P2 S1'
_space_group_name_H-M_alt 'P 4/m m m'
_space_group_IT_number 123
_space_group_name_Hall '-P 4 2'
_cell_length_a 5.073
_cell_length_b 5.073
_cell_length_c 4.195
_cell_angle_alpha 90.00
_cell_angle_beta 90.00
_cell_angle_gamma 90.00
loop_
_atom_site_label
_atom_site_type_symbol
_atom_site_fract_x
_atom_site_fract_y
_atom_site_fract_z
Ba1 Ba 0.000 0.000 0.000
Co1 Co 0.500 0.500 0.000
P1 P 0.000 0.500 0.500
S1 S 0.500 0.500 0.500
```

Values from the calculation:
ρ ... 4.46 g/cm3
Total magnetic moment ... 0.297 μB/atom
Fermi-level density of states ... 4.6 states/eV/cell


Decreasing stability: (1), (2)


(1)
Entry from Alexandria: crystalline BaCo3Pd at its relaxed geometry (GGA-PBE).

```
data_BaCo3Pd
_chemical_formula_sum 'Ba1 Co3 Pd1'
_space_group_name_H-M_alt 'P m -3 m'
_space_group_IT_number 221
_space_group_name_Hall '-P 4 2 3'
_cell_length_a 4.794
_cell_length_b 4.794
_cell_length_c 4.794
_cell_angle_alpha 90.00
_cell_angle_beta 90.00
_cell_angle_gamma 90.00
loop_
_atom_site_label
_atom_site_type_symbol
_atom_site_fract_x
_atom_site_fract_y
_atom_site_fract_z
Ba1 Ba 0.000 0.000 0.000
Co1 Co 0.000 0.500 0.500
Pd1 Pd 0.500 0.500 0.500
```

Values from the calculation:
ρ ... 6.34 g/cm3
Total magnetic moment ... 1.202 μB/atom
Fermi-level density of states ... 6.2 states/eV/cell


(2)
Entry from Alexandria: crystalline BaCo3Pd at its relaxed geometry (GGA-PBE).

```
data_BaCo3Pd
_chemical_formula_sum 'Ba1 Co3 Pd1'
_space_group_name_H-M_alt 'P m -3 m'
_space_group_IT_number 221
_space_group_name_Hall '-P 4 2 3'
_cell_length_a 4.743
_cell_length_b 4.743
_cell_length_c 4.743
_cell_angle_alpha 90.00
_cell_angle_beta 90.00
_cell_angle_gamma 90.00
loop_
_atom_site_label
_atom_site_type_symbol
_atom_site_fract_x
_atom_site_fract_y
_atom_site_fract_z
Ba1 Ba 0.000 0.000 0.000
Co1 Co 0.000 0.000 0.500
Pd1 Pd 0.500 0.500 0.500
```

Values from the calculation:
ρ ... 6.54 g/cm3
Total magnetic moment ... 0.608 μB/atom
Fermi-level density of states ... 11.0 states/eV/cell


Decreasing stability: (1), (2)


(1)
Entry from Alexandria: crystalline BaCoPt3 at its relaxed geometry (GGA-PBE).

```
data_BaCoPt3
_chemical_formula_sum 'Ba1 Co1 Pt3'
_space_group_name_H-M_alt 'P m -3 m'
_space_group_IT_number 221
_space_group_name_Hall '-P 4 2 3'
_cell_length_a 5.365
_cell_length_b 5.365
_cell_length_c 5.365
_cell_angle_alpha 90.00
_cell_angle_beta 90.00
_cell_angle_gamma 90.00
loop_
_atom_site_label
_atom_site_type_symbol
_atom_site_fract_x
_atom_site_fract_y
_atom_site_fract_z
Ba1 Ba 0.000 0.000 0.000
Co1 Co 0.500 0.500 0.500
Pt1 Pt 0.000 0.000 0.500
```

Values from the calculation:
ρ ... 8.40 g/cm3
Total magnetic moment ... 0.508 μB/atom
Fermi-level density of states ... 10.8 states/eV/cell


(2)
Entry from Alexandria: crystalline BaCoPt3 at its relaxed geometry (GGA-PBE).

```
data_BaCoPt3
_chemical_formula_sum 'Ba1 Co1 Pt3'
_space_group_name_H-M_alt 'P m -3 m'
_space_group_IT_number 221
_space_group_name_Hall '-P 4 2 3'
_cell_length_a 4.778
_cell_length_b 4.778
_cell_length_c 4.778
_cell_angle_alpha 90.00
_cell_angle_beta 90.00
_cell_angle_gamma 90.00
loop_
_atom_site_label
_atom_site_type_symbol
_atom_site_fract_x
_atom_site_fract_y
_atom_site_fract_z
Ba1 Ba 0.000 0.000 0.000
Co1 Co 0.500 0.500 0.500
Pt1 Pt 0.000 0.500 0.500
```

Values from the calculation:
ρ ... 11.89 g/cm3
Total magnetic moment ... 0.523 μB/atom
Fermi-level density of states ... 3.9 states/eV/cell


Decreasing stability: (2), (1)


(1)
Entry from Alexandria: crystalline RbBa3Co at its relaxed geometry (GGA-PBE).

```
data_RbBa3Co
_chemical_formula_sum 'Rb1 Ba3 Co1'
_space_group_name_H-M_alt 'P m -3 m'
_space_group_IT_number 221
_space_group_name_Hall '-P 4 2 3'
_cell_length_a 6.662
_cell_length_b 6.662
_cell_length_c 6.662
_cell_angle_alpha 90.00
_cell_angle_beta 90.00
_cell_angle_gamma 90.00
loop_
_atom_site_label
_atom_site_type_symbol
_atom_site_fract_x
_atom_site_fract_y
_atom_site_fract_z
Rb1 Rb 0.000 0.000 0.000
Ba1 Ba 0.000 0.000 0.500
Co1 Co 0.500 0.500 0.500
```

Values from the calculation:
ρ ... 3.12 g/cm3
Total magnetic moment ... 0.531 μB/atom
Fermi-level density of states ... 22.2 states/eV/cell


(2)
Entry from Alexandria: crystalline RbBa3Co at its relaxed geometry (GGA-PBE).

```
data_RbBa3Co
_chemical_formula_sum 'Rb1 Ba3 Co1'
_space_group_name_H-M_alt 'P m -3 m'
_space_group_IT_number 221
_space_group_name_Hall '-P 4 2 3'
_cell_length_a 6.321
_cell_length_b 6.321
_cell_length_c 6.321
_cell_angle_alpha 90.00
_cell_angle_beta 90.00
_cell_angle_gamma 90.00
loop_
_atom_site_label
_atom_site_type_symbol
_atom_site_fract_x
_atom_site_fract_y
_atom_site_fract_z
Rb1 Rb 0.000 0.000 0.000
Ba1 Ba 0.000 0.500 0.500
Co1 Co 0.500 0.500 0.500
```

Values from the calculation:
ρ ... 3.66 g/cm3
Total magnetic moment ... 0.000 μB/atom
Fermi-level density of states ... 5.1 states/eV/cell


Decreasing stability: (2), (1)